Material: Er2AlPd
Method: DFT, PBE
State: relaxed

abc: 3.3278 3.3278 29.7136
angles: 90.00 90.00 120.00
Last column: nearest neighbours and their distance in Å.
Fractional coordinates of all 12 atoms:
Er 0.0000 0.0000 0.0874  1 Pd 2.60
Er 0.0000 0.0000 0.9126  1 Pd 2.60
Er 0.3333 0.6667 0.5793  1 Pd 2.60
Er 0.3333 0.6667 0.7541  1 Pd 2.60
Er 0.6667 0.3333 0.2459  1 Pd 2.60
Er 0.6667 0.3333 0.4207  1 Pd 2.60
Al 0.0000 0.0000 0.5000  6 Er 3.04, 6 Al 3.33
Al 0.3333 0.6667 0.1667  6 Er 3.04, 6 Al 3.33
Al 0.6667 0.3333 0.8333  6 Er 3.04, 6 Al 3.33
Pd 0.0000 0.0000 0.0000  2 Er 2.60
Pd 0.3333 0.6667 0.6667  2 Er 2.60
Pd 0.6667 0.3333 0.3333  2 Er 2.60

**ΔH_f (0 K)**: -71 meV/atom
**E**: -55.04 eV for the cell shown
**Density of states at the Fermi level**: 1.5 states/eV/f.u.
**V**: 23.75 Å³ per atom
**Offset from the most stable computed form**: 592 meV/atom